i.
Material: SrPOsS2
Method: DFT, GGA-PBE
State: optimized geometry

Cell: 4.9789 4.9789 4.4241 Å, 90.00 90.00 90.00°
With the nearest neighbours (Å) after each atom.
Fractional coordinates of all 5 atoms:
Sr 0.0000 0.0000 0.0000  8 S 3.33, 4 P 3.52
P 0.5000 0.5000 0.0000  2 Os 2.21
Os 0.5000 0.5000 0.5000  2 P 2.21
S 0.0000 0.5000 0.5000  2 Os 2.49
S 0.5000 0.0000 0.5000  2 Os 2.49

Computed properties:
**Volume**: 110 Å³ per cell

ii.
Material: SrPOsS2
Method: DFT, GGA-PBE
State: optimized geometry

Cell: 5.3640 5.3640 5.6302 Å, 90.00 90.00 90.00°
With the nearest neighbours (Å) after each atom.
Fractional coordinates of all 5 atoms:
Sr 0.0000 0.0000 0.0000  4 S 2.68, 2 P 2.82
P 0.0000 0.0000 0.5000  2 Sr 2.82
Os 0.5000 0.5000 0.5000  4 P 3.79, 8 S 3.89
S 0.0000 0.5000 0.0000  2 Sr 2.68
S 0.5000 0.0000 0.0000  2 Sr 2.68

Computed properties:
**Volume**: 162 Å³ per cell

Name the most stable of them. i.

i.
Material: TaPOsS2
Method: DFT, GGA-PBE
State: optimized geometry

Cell: 4.6616 4.6616 4.9967 Å, 90.00 90.00 90.00°
With the nearest neighbours (Å) after each atom.
Fractional coordinates of all 5 atoms:
Ta 0.0000 0.0000 0.0000  4 S 2.33, 2 P 2.50
P 0.0000 0.0000 0.5000  2 Ta 2.50
Os 0.5000 0.5000 0.5000  4 P 3.30, 8 S 3.42
S 0.0000 0.5000 0.0000  2 Ta 2.33
S 0.5000 0.0000 0.0000  2 Ta 2.33

Computed properties:
**Volume**: 109 Å³ per cell

ii.
Material: TaPOsS2
Method: DFT, GGA-PBE
State: optimized geometry

Cell: 4.6275 4.6275 4.4604 Å, 90.00 90.00 90.00°
With the nearest neighbours (Å) after each atom.
Fractional coordinates of all 5 atoms:
Ta 0.0000 0.0000 0.0000  8 S 3.21, 4 P 3.27
P 0.5000 0.5000 0.0000  2 Os 2.23
Os 0.5000 0.5000 0.5000  2 P 2.23, 4 S 2.31
S 0.0000 0.5000 0.5000  2 Os 2.31
S 0.5000 0.0000 0.5000  2 Os 2.31

Computed properties:
**Volume**: 96 Å³ per cell

Name the most stable of them. ii.

i.
Material: TeP2OsS
Method: DFT, GGA-PBE
State: optimized geometry

Cell: 5.0165 5.0165 4.8319 Å, 90.00 90.00 90.00°
With the nearest neighbours (Å) after each atom.
Fractional coordinates of all 5 atoms:
Te 0.0000 0.0000 0.0000  2 S 2.42, 4 P 2.51
P 0.0000 0.5000 0.0000  2 Te 2.51
P 0.5000 0.0000 0.0000  2 Te 2.51
Os 0.5000 0.5000 0.5000  8 P 3.48, 4 S 3.55
S 0.0000 0.0000 0.5000  2 Te 2.42

Computed properties:
**Volume**: 122 Å³ per cell

ii.
Material: TeP2OsS
Method: DFT, GGA-PBE
State: optimized geometry

Cell: 4.6730 4.6730 4.5895 Å, 90.00 90.00 90.00°
With the nearest neighbours (Å) after each atom.
Fractional coordinates of all 5 atoms:
Te 0.0000 0.0000 0.0000  8 P 3.27, 4 S 3.30
P 0.0000 0.5000 0.5000  2 Os 2.34
P 0.5000 0.0000 0.5000  2 Os 2.34
Os 0.5000 0.5000 0.5000  2 S 2.29, 4 P 2.34
S 0.5000 0.5000 0.0000  2 Os 2.29

Computed properties:
**Volume**: 100 Å³ per cell

Name the most stable of them. ii.

i.
Material: TePOsS2
Method: DFT, GGA-PBE
State: optimized geometry

Cell: 4.8922 4.8922 5.2006 Å, 90.00 90.00 90.00°
With the nearest neighbours (Å) after each atom.
Fractional coordinates of all 5 atoms:
Te 0.0000 0.0000 0.0000  4 S 2.45, 2 P 2.60
P 0.0000 0.0000 0.5000  2 Te 2.60
Os 0.5000 0.5000 0.5000  4 P 3.46, 8 S 3.57
S 0.0000 0.5000 0.0000  2 Te 2.45
S 0.5000 0.0000 0.0000  2 Te 2.45

Computed properties:
**Volume**: 124 Å³ per cell

ii.
Material: TePOsS2
Method: DFT, GGA-PBE
State: optimized geometry

Cell: 4.5546 4.5546 4.8475 Å, 90.00 90.00 90.00°
With the nearest neighbours (Å) after each atom.
Fractional coordinates of all 5 atoms:
Te 0.0000 0.0000 0.0000  4 P 3.22, 8 S 3.33
P 0.5000 0.5000 0.0000  2 Os 2.42
Os 0.5000 0.5000 0.5000  4 S 2.28, 2 P 2.42
S 0.0000 0.5000 0.5000  2 Os 2.28
S 0.5000 0.0000 0.5000  2 Os 2.28

Computed properties:
**Volume**: 101 Å³ per cell

Name the most stable of them. ii.